Entry 1:
The following is a DFT calculation (GGA-PBE) of a relaxed structure of RbCrCdRh2.

As for the density of states at the Fermi level: 8.112 states/eV per cell. The calculated total energy comes out at -18.0 eV for the cell shown. As for the crystal system: tetragonal.

Unit cell a=5.096 b=5.096 c=5.012 alpha=90.00 beta=90.00 gamma=90.00
Space group P4/mmm (No. 123)
Inequivalent atoms, fractional coordinates:
Rb 0.000 0.000 0.000
Cr 0.500 0.500 0.000
Cd 0.500 0.500 0.500
Rh 0.000 0.500 0.500

=====

Entry 2:
The following is a DFT calculation (GGA-PBE) of a relaxed structure of Rb2CrCdS4.

Its formation energy from raw total energies is -0.82 eV per atom. As for the crystal system: orthorhombic.

Unit cell a=5.996 b=13.712 c=24.003 alpha=90.00 beta=90.00 gamma=90.00
Space group Fddd (No. 70, origin choice 2)
Inequivalent atoms, fractional coordinates:
Rb 0.125 0.125 0.305
Cr 0.125 0.125 0.625
Cd 0.125 0.125 0.125
S 0.083 0.279 0.822

=====

Entry 3:
The following is a DFT calculation (GGA-PBE) of a relaxed structure of Rb2CrCdSe4.

As for the density of states at the Fermi level: 0.102 states/eV per cell. Its formation energy from raw total energies is -0.77 eV per atom. As for the crystal system: orthorhombic.

Unit cell a=6.215 b=14.151 c=24.766 alpha=90.00 beta=90.00 gamma=90.00
Space group Fddd (No. 70, origin choice 2)
Inequivalent atoms, fractional coordinates:
Rb 0.125 0.125 0.306
Cr 0.125 0.125 0.625
Cd 0.125 0.125 0.125
Se 0.086 0.277 0.820

=====

Entry 4:
The following is a DFT calculation (GGA-PBE) of a relaxed structure of Rb2CrCdSi.

As for the density of states at the Fermi level: 2.695 states/eV per cell. Its formation energy from raw total energies is 0.49 eV per atom. As for the crystal system: tetragonal.

Unit cell a=6.868 b=6.868 c=4.780 alpha=90.00 beta=90.00 gamma=90.00
Space group P4/mmm (No. 123)
Inequivalent atoms, fractional coordinates:
Rb 0.000 0.500 0.000
Cr 0.000 0.000 0.500
Cd 0.500 0.500 0.500
Si 0.000 0.000 0.000